Density functional theory data (PBE) for crystalline CaN4F2 at its relaxed geometry.

Calculated values
calculated volume: 300 Å³/cell
formation energy without anion corrections: 1.386 eV per atom

Cell lengths 4.865, 4.865, 12.678 Å; angles 90.00, 90.00, 90.00 degrees
Space group I4/mmm (No. 139)
Inequivalent atoms, fractional coordinates:
Ca: 0.000 0.000 0.000
N: 0.000 0.000 0.201
N: 0.000 0.500 0.000
F: 0.000 0.000 0.306